# TbPrNd2As4, relaxed, DFT PBE
data_TbPrNd2As4
_cell_length_a 7.358
_cell_length_b 4.252
_cell_length_c 7.358
_cell_angle_alpha 90.00
_cell_angle_beta 109.46
_cell_angle_gamma 90.00
_symmetry_space_group_name_H-M 'P 1 2/m 1'
_symmetry_Int_Tables_number 10
loop_
_symmetry_equiv_pos_as_xyz
'x,y,z'
'-x,-y,-z'
'-x,y,-z'
'x,-y,z'
loop_
_atom_site_label
_atom_site_type_symbol
_atom_site_fract_x
_atom_site_fract_y
_atom_site_fract_z
Tb1 Tb 0.000 0.000 0.000
Pr1 Pr 0.500 0.500 0.000
Nd1 Nd 0.000 0.500 0.500
Nd2 Nd 0.500 0.000 0.500
As1 As 0.244 0.500 0.245
As2 As 0.246 0.000 0.751
# Crystal system ... monoclinic
# ΔH_f (0 K) ... -1.5099 eV/atom
# Density of states at the Fermi level ... 0.7 states/eV/cell